Entry 1:
Sc8TlPd2: optimized geometry, PBE.

Cell lengths 7.6794, 7.6794, 4.9969 Å; angles 99.19, 99.19, 116.23 degrees
Atoms (fractional coordinates):
Sc: 0.0882 0.3291 0.5875
Sc: 0.2354 0.7646 0.0000
Sc: 0.3291 0.0882 0.5875
Sc: 0.3986 0.3986 0.1972
Sc: 0.6014 0.6014 0.8028
Sc: 0.6709 0.9118 0.4125
Sc: 0.7646 0.2354 0.0000
Sc: 0.9118 0.6709 0.4125
Tl: 0.0000 0.0000 0.0000
Pd: 0.3026 0.6974 0.5000
Pd: 0.6974 0.3026 0.5000

Computed properties:
- ΔH_f (0 K): -310 meV per atom
- N(E_F): 1.53 states/eV/atom
- Magnetization: 0.1 μB per cell
- VASP energy: -6.074 eV/atom
- Calculated density: 5.120 g/cm³
- Space group: No. 12


Entry 2:
Sc3Tl2Pd: optimized geometry, PBE.

Cell lengths 7.7617, 7.7617, 7.2223 Å; angles 90.00, 90.00, 143.44 degrees
Atoms (fractional coordinates):
Sc: 0.0000 0.0000 0.2426
Sc: 0.0000 0.0000 0.7574
Sc: 0.3257 0.6743 0.2225
Sc: 0.3257 0.6743 0.7775
Sc: 0.6743 0.3257 0.2225
Sc: 0.6743 0.3257 0.7775
Tl: 0.1673 0.8327 0.5000
Tl: 0.5000 0.5000 0.0000
Tl: 0.5000 0.5000 0.5000
Tl: 0.8327 0.1673 0.5000
Pd: 0.1514 0.8486 0.0000
Pd: 0.8486 0.1514 0.0000

Computed properties:
- ΔH_f (0 K): -461 meV per atom
- N(E_F): 0.81 states/eV/atom
- Magnetization: 0.0 μB per cell
- E above lowest polymorph: 7 meV/atom
- VASP energy: -5.281 eV/atom
- Calculated density: 8.330 g/cm³
- Space group: No. 65


Entry 3:
Sc2Tl2Pd: optimized geometry, PBE.

Cell lengths 7.0392, 7.0392, 4.8047 Å; angles 90.00, 90.00, 90.00 degrees
Atoms (fractional coordinates):
Sc: 0.1571 0.3429 0.0000
Sc: 0.3429 0.8429 0.0000
Sc: 0.6571 0.1571 0.0000
Sc: 0.8429 0.6571 0.0000
Tl: 0.1601 0.6601 0.5000
Tl: 0.3399 0.1601 0.5000
Tl: 0.6601 0.8399 0.5000
Tl: 0.8399 0.3399 0.5000
Pd: 0.0000 0.0000 0.0000
Pd: 0.5000 0.5000 0.0000

Computed properties:
- ΔH_f (0 K): -186 meV per atom
- N(E_F): 0.74 states/eV/atom
- Magnetization: 0.0 μB per cell
- E above lowest polymorph: 185 meV/atom
- VASP energy: -4.704 eV/atom
- Calculated density: 8.441 g/cm³
- Space group: No. 127


Entry 4:
ScTl2Pd: optimized geometry, PBE.

Cell lengths 4.3897, 4.3897, 4.4695 Å; angles 90.00, 90.00, 90.00 degrees
Atoms (fractional coordinates):
Sc: 0.0000 0.0000 0.0000
Tl: 0.0000 0.5000 0.5000
Tl: 0.5000 0.0000 0.5000
Pd: 0.5000 0.5000 0.0000

Computed properties:
- ΔH_f (0 K): -233 meV per atom
- N(E_F): 0.91 states/eV/atom
- Magnetization: 0.0 μB per cell
- VASP energy: -4.297 eV/atom
- Calculated density: 10.800 g/cm³
- Space group: No. 123


Entry 5:
ScTl2Pd2: optimized geometry, PBE.

Cell lengths 7.9213, 7.9213, 3.2936 Å; angles 90.00, 90.00, 90.00 degrees
Atoms (fractional coordinates):
Sc: 0.0000 0.0000 0.0000
Sc: 0.5000 0.5000 0.0000
Tl: 0.1388 0.3612 0.0000
Tl: 0.3612 0.8612 0.0000
Tl: 0.6388 0.1388 0.0000
Tl: 0.8612 0.6388 0.0000
Pd: 0.1618 0.6618 0.5000
Pd: 0.3382 0.1618 0.5000
Pd: 0.6618 0.8382 0.5000
Pd: 0.8382 0.3382 0.5000

Computed properties:
- ΔH_f (0 K): -159 meV per atom
- N(E_F): 0.70 states/eV/atom
- Magnetization: 1.1 μB per cell
- E above lowest polymorph: 124 meV/atom
- VASP energy: -4.449 eV/atom
- Calculated density: 10.712 g/cm³
- Space group: No. 127


Entry 6:
ScTl2Pd: optimized geometry, PBE.

Cell lengths 6.3546, 6.3546, 6.3546 Å; angles 103.01, 103.01, 123.34 degrees
Atoms (fractional coordinates):
Sc: 0.0000 0.0000 0.0000
Sc: 0.7500 0.2500 0.5000
Tl: 0.1520 0.6250 0.0270
Tl: 0.3750 0.4020 0.5270
Tl: 0.5980 0.1250 0.9730
Tl: 0.8750 0.8480 0.4730
Pd: 0.2500 0.7500 0.5000
Pd: 0.5000 0.5000 0.0000

Computed properties:
- ΔH_f (0 K): -102 meV per atom
- N(E_F): 0.85 states/eV/atom
- Magnetization: 0.0 μB per cell
- VASP energy: -4.166 eV/atom
- Calculated density: 9.858 g/cm³
- Space group: No. 122


Entry 7:
Sc5Tl2Pd2: optimized geometry, PBE.

Cell lengths 8.3687, 8.3687, 6.8004 Å; angles 90.00, 90.00, 58.45 degrees
Atoms (fractional coordinates):
Sc: 0.0000 0.0000 0.0000
Sc: 0.0601 0.6968 0.6561
Sc: 0.1968 0.5601 0.1561
Sc: 0.3032 0.9399 0.6561
Sc: 0.4399 0.8032 0.1561
Sc: 0.5000 0.5000 0.5000
Sc: 0.5601 0.1968 0.8439
Sc: 0.6968 0.0601 0.3439
Sc: 0.8032 0.4399 0.8439
Sc: 0.9399 0.3032 0.3439
Tl: 0.2126 0.2126 0.0000
Tl: 0.2874 0.2874 0.5000
Tl: 0.7126 0.7126 0.5000
Tl: 0.7874 0.7874 0.0000
Pd: 0.1274 0.8726 0.3636
Pd: 0.3726 0.6274 0.8636
Pd: 0.6274 0.3726 0.1364
Pd: 0.8726 0.1274 0.6364

Computed properties:
- ΔH_f (0 K): -489 meV per atom
- N(E_F): 1.05 states/eV/atom
- Magnetization: 0.0 μB per cell
- VASP energy: -5.686 eV/atom
- Calculated density: 6.925 g/cm³
- Space group: No. 64


Entry 8:
Sc3Tl2Pd: optimized geometry, PBE.

Cell lengths 3.3953, 3.3953, 11.2567 Å; angles 90.00, 90.00, 90.00 degrees
Atoms (fractional coordinates):
Sc: 0.0000 0.0000 0.0000
Sc: 0.0000 0.0000 0.3588
Sc: 0.0000 0.0000 0.6412
Tl: 0.5000 0.5000 0.1786
Tl: 0.5000 0.5000 0.8214
Pd: 0.5000 0.5000 0.5000

Computed properties:
- ΔH_f (0 K): -468 meV per atom
- N(E_F): 0.88 states/eV/atom
- Magnetization: 0.3 μB per cell
- E above lowest polymorph: 0 meV/atom
- VASP energy: -5.288 eV/atom
- Calculated density: 8.318 g/cm³
- Space group: No. 123